A relaxed structure of TaNbS2Cl. Source: Alexandria, functional GGA-PBE.

The formation energy without anion corrections is 489 meV per atom.

It has space group P4/mmm (No. 123), with a = 4.8431 Å, b = 4.8431 Å, c = 4.6846 Å, α = 90.00°, β = 90.00° and γ = 90.00°. The distinct sites, in fractional coordinates, are Ta at (0.0000, 0.0000, 0.0000), Nb at (0.5000, 0.5000, 0.5000), S at (0.0000, 0.5000, 0.5000) and Cl at (0.5000, 0.5000, 0.0000).


A relaxed structure of LiBH4O4. Source: Alexandria, functional GGA-PBE.

The calculation puts the raw total energy at -462.46 eV for the cell shown.

It has space group Pbca (No. 61), with a = 7.8245 Å, b = 8.6300 Å, c = 9.2729 Å, α = 90.00°, β = 90.00° and γ = 90.00°. The distinct sites, in fractional coordinates, are Li at (0.1267, 0.1265, 0.1976), B at (0.1721, 0.6577, 0.9085), H at (0.0168, 0.1141, 0.7446), H at (0.0767, 0.2144, 0.9259), H at (0.1069, 0.5277, 0.0858), H at (0.1431, 0.6135, 0.4689), O at (0.0679, 0.6976, 0.4348), O at (0.0694, 0.5567, 0.8144), O at (0.1608, 0.2051, 0.8449) and O at (0.2124, 0.5721, 0.0430).


A relaxed structure of Tb3Y4Ho8. Source: Alexandria, functional GGA-PBE.

The energy of formation is 0.136 eV per atom.

It has space group R-3m (No. 166, hexagonal axes), with a = 6.9081 Å, b = 6.9081 Å, c = 35.1873 Å, α = 90.00°, β = 90.00° and γ = 120.00°. The distinct sites, in fractional coordinates, are Tb at (0.0000, 0.5000, 0.0000), Y at (0.0000, 0.0000, 0.0000), Y at (0.0000, 0.0000, 0.1639), Y at (0.0000, 0.0000, 0.5000), Ho at (0.0000, 0.0000, 0.2552) and Ho at (0.0018, 0.5009, 0.2504).


A relaxed structure of ZnNi2H. Source: Alexandria, functional GGA-PBE.

The calculation puts the raw total energy at -50.05 eV for the cell shown.

It has space group R-3m (No. 166, hexagonal axes), with a = 2.6340 Å, b = 2.6340 Å, c = 18.5575 Å, α = 90.00°, β = 90.00° and γ = 120.00°. The distinct sites, in fractional coordinates, are Zn at (0.0000, 0.0000, 0.0000), Ni at (0.0000, 0.0000, 0.2237) and H at (0.0000, 0.0000, 0.5000).


A relaxed structure of CaNd8Er2. Source: Alexandria, functional GGA-PBE.

The energy of formation is 0.143 eV per atom.

It has space group Immm (No. 71), with a = 5.6944 Å, b = 8.5796 Å, c = 15.9978 Å, α = 90.00°, β = 90.00° and γ = 90.00°. The distinct sites, in fractional coordinates, are Ca at (0.0000, 0.0000, 0.0000), Nd at (0.0000, 0.1908, 0.5000), Nd at (0.0000, 0.3001, 0.1434), Nd at (0.0000, 0.5000, 0.3394) and Er at (0.0000, 0.0000, 0.2969).


A relaxed structure of RbBaAg2Ir. Source: Alexandria, functional GGA-PBE.

The energy of formation is 1.634 eV per atom.

It has space group P4/mmm (No. 123), with a = 5.3885 Å, b = 5.3885 Å, c = 6.5513 Å, α = 90.00°, β = 90.00° and γ = 90.00°. The distinct sites, in fractional coordinates, are Rb at (0.0000, 0.0000, 0.0000), Ba at (0.0000, 0.0000, 0.5000), Ag at (0.0000, 0.5000, 0.0000) and Ir at (0.5000, 0.5000, 0.5000).


A relaxed structure of YHgBiRh. Source: Alexandria, functional GGA-PBE.

The energy of formation is -0.333 eV per atom.

It has space group F-43m (No. 216), with a = 7.1484 Å, b = 7.1484 Å, c = 7.1484 Å, α = 90.00°, β = 90.00° and γ = 90.00°. The distinct sites, in fractional coordinates, are Y at (0.0000, 0.0000, 0.0000), Hg at (0.2500, 0.2500, 0.7500), Bi at (0.0000, 0.0000, 0.5000) and Rh at (0.2500, 0.2500, 0.2500).


A relaxed structure of Pm2DyAu. Source: Alexandria, functional GGA-PBE.

The energy of formation is -0.241 eV per atom.

It has space group R3m (No. 160, hexagonal axes), with a = 3.7579 Å, b = 3.7579 Å, c = 30.2710 Å, α = 90.00°, β = 90.00° and γ = 120.00°. The distinct sites, in fractional coordinates, are Pm at (0.0000, 0.0000, 0.0000), Pm at (0.0000, 0.0000, 0.1899), Dy at (0.0000, 0.0000, 0.7621) and Au at (0.0000, 0.0000, 0.5948).